No. 1
Entry from Alexandria via LeMat-Bulk: a relaxed Er2TcH8 crystal (GGA-PBE).

Cell lengths 3.4046, 4.2476, 6.9665 Å; angles 107.76, 104.14, 90.00 degrees
Atoms (fractional coordinates):
H (0.0000, 0.2198, 0.0001)
H (0.2396, 0.2399, 0.4792)
H (0.6144, 0.8912, 0.2288)
H (0.7604, 0.7601, 0.5208)
H (0.6137, 0.3400, 0.2275)
H (0.0000, 0.7802, 0.9999)
H (0.3863, 0.6600, 0.7725)
H (0.3856, 0.1088, 0.7712)
Er (0.8545, 0.3539, 0.7090)
Er (0.1455, 0.6461, 0.2910)
Tc (0.5000, 0.0000, 0.0000)

Computed properties:
symmetry: C2/m (12)
N(E_F): 2.1 states/eV per cell
VASP energy: -50.762 eV/cell


No. 2
Entry from Alexandria via LeMat-Bulk: a relaxed TiNbNi4 crystal (GGA-PBE).

Cell lengths 4.7763, 4.7763, 4.7763 Å; angles 60.00, 60.00, 60.00 degrees
Site moments in Bohr magnetons follow the coordinates.
Atoms (fractional coordinates):
Ni (0.1246, 0.6251, 0.6251)  0.10
Ni (0.6251, 0.1246, 0.6251)  0.10
Ni (0.6251, 0.6251, 0.6251)  0.10
Ni (0.6251, 0.6251, 0.1246)  0.10
Ti (0.0000, 0.0000, 0.0000)  0.33
Nb (0.2500, 0.2500, 0.2500)  0.34

Computed properties:
symmetry: F-43m (216)
DFT formation energy: -0.266 eV per atom
N(E_F): 8.7 states/eV per cell
VASP energy: -42.687 eV/cell


No. 3
Entry from Alexandria via LeMat-Bulk: a relaxed Pm2TaS5 crystal (GGA-PBE).

Cell lengths 5.1658, 7.2758, 12.7609 Å; angles 90.00, 90.00, 110.79 degrees
Site moments in Bohr magnetons follow the coordinates.
Atoms (fractional coordinates):
S (0.0484, 0.0968, 0.3748)  -0.01
S (0.7026, 0.4051, 0.9057)  0.00
S (0.7026, 0.4051, 0.5943)  0.00
S (0.9516, 0.9032, 0.8748)  -0.01
S (0.9516, 0.9032, 0.6252)  -0.01
S (0.2774, 0.5548, 0.7500)  -0.02
S (0.7226, 0.4452, 0.2500)  -0.02
S (0.2974, 0.5949, 0.4057)  0.00
S (0.2974, 0.5949, 0.0943)  0.00
S (0.0484, 0.0968, 0.1252)  -0.01
Ta (0.1813, 0.3625, 0.2500)  0.64
Ta (0.8187, 0.6375, 0.7500)  0.64
Pm (0.8554, 0.7107, 0.4357)  0.04
Pm (0.1446, 0.2893, 0.9357)  0.04
Pm (0.1446, 0.2893, 0.5643)  0.04
Pm (0.8554, 0.7107, 0.0643)  0.04

Computed properties:
symmetry: Cmcm (63)
N(E_F): 8.2 states/eV per cell
VASP energy: -107.321 eV/cell


No. 4
Entry from Alexandria via LeMat-Bulk: a relaxed Tb2Pm3Pr6Y crystal (GGA-PBE).

Cell lengths 6.3644, 6.3644, 12.0628 Å; angles 95.04, 95.04, 120.01 degrees
Atoms (fractional coordinates):
Y (0.0000, 0.0000, 0.0000)
Pm (0.1668, 0.8332, 0.5000)
Pm (0.8332, 0.1668, 0.5000)
Pm (0.5000, 0.5000, 0.5000)
Tb (0.6666, 0.3334, 0.0000)
Tb (0.3334, 0.6666, 0.0000)
Pr (0.0832, 0.4172, 0.2474)
Pr (0.5828, 0.9168, 0.7526)
Pr (0.7492, 0.7492, 0.2477)
Pr (0.2508, 0.2508, 0.7523)
Pr (0.4172, 0.0832, 0.2474)
Pr (0.9168, 0.5828, 0.7526)

Computed properties:
symmetry: C2/m (12)
DFT formation energy: 0.011 eV per atom
N(E_F): 15.9 states/eV per cell
VASP energy: -58.520 eV/cell


No. 5
Entry from Alexandria via LeMat-Bulk: a relaxed MnReMo2N crystal (GGA-PBE).

Cell lengths 4.1120, 4.1120, 3.8141 Å; angles 90.00, 90.00, 90.00 degrees
Site moments in Bohr magnetons follow the coordinates.
Atoms (fractional coordinates):
N (0.0000, 0.0000, 0.0000)  0.00
Mo (0.5000, 0.0000, 0.0000)  -0.13
Mo (0.0000, 0.5000, 0.0000)  -0.13
Re (0.5000, 0.5000, 0.5000)  -0.20
Mn (0.0000, 0.0000, 0.5000)  1.57

Computed properties:
symmetry: P4/mmm (123)
N(E_F): 3.9 states/eV per cell
VASP energy: -51.971 eV/cell


No. 6
Entry from Alexandria via LeMat-Bulk: a relaxed SiAg2Mo crystal (GGA-PBE).

Cell lengths 9.3226, 9.3226, 9.3226 Å; angles 17.70, 17.70, 17.70 degrees
Atoms (fractional coordinates):
Ag (0.2485, 0.2485, 0.2485)
Ag (0.0050, 0.0050, 0.0050)
Mo (0.4935, 0.4935, 0.4935)
Si (0.7530, 0.7530, 0.7530)

Computed properties:
symmetry: R3m (160)
N(E_F): 2.2 states/eV per cell
VASP energy: -21.070 eV/cell